Computed, not measured: a geometry-optimized Tm12Ni6Ag structure at the PBE level of DFT.

Cell lengths 13.4822, 13.4822, 8.6099 Å; angles 90.00, 90.00, 120.00 degrees
Space group R-3 (No. 148, hexagonal axes)
Inequivalent atoms, fractional coordinates:
Tm1 0.0392 0.7834 0.4267
Tm2 0.0585 0.8802 0.8303
Ni1 0.0735 0.5735 0.7854
Ag1 0.0000 0.0000 0.5000

Properties
M_tot   0.0 μB/f.u.
Energy relative to the lowest polymorph listed for this composition   0.120 eV per atom
Formation energy   -4.3 eV/f.u.

---

Computed, not measured: a geometry-optimized Tm4NiAg structure at the PBE level of DFT.

Cell lengths 13.168, 13.168, 13.168 Å; angles 90.00, 90.00, 90.00 degrees
Space group F-43m (No. 216)
Inequivalent atoms, fractional coordinates:
Tm1 0.000 0.000 0.186
Tm2 0.061 0.250 0.750
Tm3 0.100 0.100 0.400
Ni1 0.107 0.107 0.607
Ag1 0.167 0.167 0.167

Properties
M_tot   0.0 μB/f.u.
Energy relative to the lowest polymorph listed for this composition   0.000 eV per atom
Formation energy   -1.9 eV/f.u.

---

Computed, not measured: a geometry-optimized Tm2Ni2Ag structure at the PBE level of DFT.

Cell lengths 7.237, 7.237, 3.574 Å; angles 90.00, 90.00, 90.00 degrees
Space group P4/mbm (No. 127)
Inequivalent atoms, fractional coordinates:
Tm1 0.175 0.325 0.000
Ni1 0.120 0.620 0.500
Ag1 0.000 0.000 0.500

Properties
M_tot   0.0 μB/f.u.
Energy relative to the lowest polymorph listed for this composition   0.004 eV per atom
Formation energy   -2.2 eV/f.u.

---

Computed, not measured: a geometry-optimized TmNiAg structure at the PBE level of DFT.

Cell lengths 3.473, 3.473, 9.162 Å; angles 90.00, 90.00, 90.00 degrees
Space group I4mm (No. 107)
Inequivalent atoms, fractional coordinates:
Tm1 0.000 0.000 0.000
Ni1 0.000 0.000 0.348
Ag1 0.000 0.000 0.688

Properties
M_tot   0.0 μB/f.u.
Formation energy   -0.7 eV/f.u.

---

Computed, not measured: a geometry-optimized Tm5NiAg structure at the PBE level of DFT.

Cell lengths 11.227, 6.630, 10.865 Å; angles 90.00, 113.13, 90.00 degrees
Space group C2/c (No. 15)
Inequivalent atoms, fractional coordinates:
Tm1 0.000 0.010 0.250
Tm2 0.121 0.335 0.030
Tm3 0.224 0.171 0.638
Ni1 0.000 0.000 0.000
Ag1 0.000 0.500 0.250

Properties
M_tot   0.0 μB/f.u.
Formation energy   -0.5 eV/f.u.

---

Computed, not measured: a geometry-optimized Tm2Ni9Ag structure at the PBE level of DFT.

Cell lengths 4.9112, 4.9112, 23.8089 Å; angles 90.00, 90.00, 120.00 degrees
Space group R-3m (No. 166, hexagonal axes)
Inequivalent atoms, fractional coordinates:
Tm1 0.0000 0.0000 0.1349
Ni1 0.0000 0.0000 0.3332
Ni2 0.0000 0.0000 0.5000
Ni3 0.0020 0.5010 0.9174
Ag1 0.0000 0.0000 0.0000

Properties
M_tot   2.8 μB/f.u.
Formation energy   -2.6 eV/f.u.

---

Computed, not measured: a geometry-optimized Tm2Ni2Ag structure at the PBE level of DFT.

Cell lengths 3.915, 13.742, 3.549 Å; angles 90.00, 90.00, 90.00 degrees
Space group Cmmm (No. 65)
Inequivalent atoms, fractional coordinates:
Tm1 0.000 0.136 0.000
Ni1 0.000 0.301 0.500
Ag1 0.000 0.500 0.500

Properties
M_tot   0.0 μB/f.u.
Energy relative to the lowest polymorph listed for this composition   0.000 eV per atom
Formation energy   -2.3 eV/f.u.

---

Computed, not measured: a geometry-optimized Tm7Ni2Ag2 structure at the PBE level of DFT.

Cell lengths 7.623, 10.765, 6.871 Å; angles 90.00, 90.00, 90.00 degrees
Space group Cmmm (No. 65)
Inequivalent atoms, fractional coordinates:
Tm1 0.000 0.000 0.000
Tm2 0.000 0.500 0.243
Tm3 0.250 0.250 0.250
Ni1 0.000 0.293 0.000
Ag1 0.182 0.000 0.500

Properties
M_tot   0.0 μB/f.u.
Energy relative to the lowest polymorph listed for this composition   0.114 eV per atom
Formation energy   -1.7 eV/f.u.

---

Computed, not measured: a geometry-optimized Tm3Ni2Ag2 structure at the PBE level of DFT.

Cell lengths 3.813, 20.755, 3.576 Å; angles 90.00, 90.00, 90.00 degrees
Space group Cmmm (No. 65)
Inequivalent atoms, fractional coordinates:
Tm1 0.000 0.000 0.000
Tm2 0.000 0.173 0.000
Ni1 0.000 0.284 0.500
Ag1 0.000 0.419 0.500

Properties
M_tot   0.0 μB/f.u.
Formation energy   -2.8 eV/f.u.

---

Computed, not measured: a geometry-optimized UNi4Ag structure at the PBE level of DFT.

Cell lengths 6.948, 6.948, 6.948 Å; angles 90.00, 90.00, 90.00 degrees
Space group F-43m (No. 216)
Inequivalent atoms, fractional coordinates:
U1 0.000 0.000 0.000
Ni1 0.124 0.124 0.624
Ag1 0.250 0.250 0.250

Properties
M_tot   0.8 μB/f.u.
Formation energy   -1.1 eV/f.u.

---

Computed, not measured: a geometry-optimized V2NiAg structure at the PBE level of DFT.

Cell lengths 6.161, 6.161, 6.161 Å; angles 90.00, 90.00, 90.00 degrees
Space group Fm-3m (No. 225)
Inequivalent atoms, fractional coordinates:
V1 0.250 0.250 0.250
Ni1 0.000 0.000 0.000
Ag1 0.000 0.000 0.500

Properties
M_tot   4.3 μB/f.u.
Energy relative to the lowest polymorph listed for this composition   0.000 eV per atom
Formation energy   1.7 eV/f.u.

---

Computed, not measured: a geometry-optimized V3NiAg structure at the PBE level of DFT.

Cell lengths 4.366, 4.366, 4.366 Å; angles 90.00, 90.00, 90.00 degrees
Space group Pm-3m (No. 221)
Inequivalent atoms, fractional coordinates:
V1 0.000 0.000 0.500
Ni1 0.000 0.000 0.000
Ag1 0.500 0.500 0.500

Properties
M_tot   0.6 μB/f.u.
Energy relative to the lowest polymorph listed for this composition   0.000 eV per atom
Formation energy   4.6 eV/f.u.